*one*
Ca2PmGd | PBE | relaxed

Symmetry: P4/mmm, No. 123

Cell lengths 4.131, 4.131, 8.592 Å; angles 90.00, 90.00, 90.00 degrees
Site moments in Bohr magnetons follow the coordinates.
Fractional coordinates of all 4 atoms:
Ca 0.000 0.000 0.750  0.01
Ca 0.000 0.000 0.250  0.01
Gd 0.500 0.500 0.500  7.25
Pm 0.500 0.500 0.000  -0.11



*two*
Ca2PmGd | PBE | relaxed

Symmetry: Fm-3m, No. 225

Cell lengths 5.916, 5.916, 5.916 Å; angles 60.00, 60.00, 60.00 degrees
Site moments in Bohr magnetons follow the coordinates.
Fractional coordinates of all 4 atoms:
Ca 0.250 0.250 0.250  0.00
Ca 0.750 0.750 0.750  0.00
Gd 0.500 0.500 0.500  7.14
Pm 0.000 0.000 0.000  -0.02



Best to worst by energy: *one*, *two*.



*one*
CaPmGd | PBE | relaxed

Symmetry: P3m1, No. 156

Cell lengths 3.677, 3.677, 9.155 Å; angles 90.00, 90.00, 120.00 degrees
Site moments in Bohr magnetons follow the coordinates.
Fractional coordinates of all 3 atoms:
Ca 0.000 0.000 0.001  -0.01
Gd 0.667 0.333 0.346  7.21
Pm 0.333 0.667 0.653  -0.04



*two*
CaPmGd | PBE | relaxed

Symmetry: I4mm, No. 107

Cell lengths 3.693, 3.693, 8.264 Å; angles 102.91, 102.91, 90.00 degrees
Site moments in Bohr magnetons follow the coordinates.
Fractional coordinates of all 3 atoms:
Ca 0.000 0.000 0.000  -0.01
Gd 0.324 0.324 0.649  7.22
Pm 0.676 0.676 0.351  -0.06



Best to worst by energy: *two*, *one*.



*one*
CaPrGd | PBE | relaxed

Symmetry: I4mm, No. 107

Cell lengths 3.716, 3.716, 8.313 Å; angles 102.91, 102.91, 90.00 degrees
Site moments in Bohr magnetons follow the coordinates.
Fractional coordinates of all 3 atoms:
Pr 0.676 0.676 0.351  -0.07
Ca 0.999 0.999 0.999  -0.01
Gd 0.325 0.325 0.650  7.23



*two*
CaPrGd | PBE | relaxed

Symmetry: P3m1, No. 156

Cell lengths 3.698, 3.698, 9.206 Å; angles 90.00, 90.00, 120.00 degrees
Site moments in Bohr magnetons follow the coordinates.
Fractional coordinates of all 3 atoms:
Pr 0.333 0.667 0.653  -0.05
Ca 0.000 0.000 0.003  -0.01
Gd 0.667 0.333 0.344  7.21



Best to worst by energy: *one*, *two*.